# 1
Density functional theory data (PBE) for a geometry-optimized SrPt2Se structure.

Values from the calculation:
- Crystal system: monoclinic
- Magnetic moment: 0.00 μB/f.u.

Lattice parameters (Å, degrees): 5.062 5.062 5.642 113.32 113.32 44.85
Element x y z (fractional)
1 Sr 0.000 0.000 0.000
2 Pt 0.219 0.219 0.597
3 Pt 0.522 0.522 0.566
4 Se 0.818 0.818 0.387



# 2
Density functional theory data (PBE) for a geometry-optimized SrPtSe3 structure.

Values from the calculation:
- Crystal system: cubic
- Magnetic moment: 0.00 μB/f.u.
- Energy above the lowest structure with this stoichiometry: 1.526 eV/atom

Lattice parameters (Å, degrees): 5.662 5.662 5.662 90.00 90.00 90.00
Element x y z (fractional)
1 Sr 0.000 0.000 0.000
2 Pt 0.500 0.500 0.500
3 Se 0.000 0.000 0.500
4 Se 0.000 0.500 0.000
5 Se 0.500 0.000 0.000



# 3
Density functional theory data (PBE) for a geometry-optimized SrPtSe structure.

Values from the calculation:
- Crystal system: orthorhombic
- Magnetic moment: 0.00 μB/f.u.

Lattice parameters (Å, degrees): 6.362 6.362 6.362 94.27 134.54 102.96
Element x y z (fractional)
1 Sr 0.000 0.000 0.000
2 Sr 0.000 0.500 0.500
3 Pt 0.002 0.001 0.501
4 Pt 0.500 0.501 0.499
5 Se 0.466 0.751 0.215
6 Se 0.537 0.251 0.785



# 4
Density functional theory data (PBE) for a geometry-optimized SrPtSe structure.

Values from the calculation:
- Crystal system: triclinic
- Magnetic moment: 0.00 μB/f.u.

Lattice parameters (Å, degrees): 4.731 5.854 6.367 88.11 79.89 71.63
Element x y z (fractional)
1 Sr 0.000 0.000 0.000
2 Sr 0.363 0.448 0.569
3 Pt 0.482 0.833 0.274
4 Pt 0.718 0.834 0.657
5 Se 0.015 0.099 0.491
6 Se 0.695 0.566 0.960



So what do the calculations give for energy relative to the elements, uncorrected? Going down the list: -719; 926; -1150; -1043 meV/atom.